Material: Y4Cd5Ni2
Method: DFT, PBE
State: relaxed

Results
magnetization: 0.00 μB/f.u.
VASP energy: -4.180 eV/atom

a = 7.638 Å, b = 3.574 Å, c = 9.490 Å
α = 90.00°, β = 93.64°, γ = 90.00°
Fractional coordinates of all 11 atoms:
Y  0.165  0.000  0.344
Y  0.220  0.000  0.945
Y  0.780  0.000  0.055
Y  0.835  0.000  0.656
Cd  0.183  0.500  0.650
Cd  0.448  0.500  0.177
Cd  0.500  0.500  0.500
Cd  0.552  0.500  0.823
Cd  0.817  0.500  0.350
Ni  0.065  0.500  0.131
Ni  0.935  0.500  0.869